# 1
A plane-wave DFT calculation with SCAN was carried out for a crystal of FeRu2Cl relaxed with PBEsol.

- ΔE_f (raw): 336 meV per atom
- Magnetization: 0.9724 μB/atom
- E above lowest polymorph: 0.039 eV/atom

Lattice parameters (Å, degrees): 2.7841 2.7841 6.9642 90.00 90.00 90.00
Closest atoms and distances in Å follow each position.
Fractional coordinates of all 4 atoms:
Fe: 0.0000 0.0000 0.0000  4 Cl 2.54, 4 Ru 2.68, 4 Fe 2.78
Ru: 0.0000 0.0000 0.4952  8 Ru 2.56-2.78, 4 Cl 2.74
Ru: 0.5000 0.5000 0.2609  8 Ru 2.56-2.78, 4 Fe 2.68
Cl: 0.5000 0.5000 0.7698  4 Fe 2.54, 4 Ru 2.74, 4 Cl 2.78

---

# 2
A plane-wave DFT calculation with SCAN was carried out for a crystal of Zr2Si4Ni3 relaxed with PBEsol.

- ΔE_f (raw): -830 meV per atom
- Magnetization: 0.0000 μB/atom

Lattice parameters (Å, degrees): 7.2922 7.2922 6.8467 90.00 90.00 138.63
Closest atoms and distances in Å follow each position.
Fractional coordinates of all 18 atoms:
Zr: 0.1045 0.8955 0.9020  8 Si 2.77-3.02, 5 Ni 2.83-3.10
Zr: 0.3955 0.6045 0.4020  8 Si 2.77-3.02, 5 Ni 2.83-3.10
Zr: 0.6045 0.3955 0.5980  8 Si 2.77-3.02, 5 Ni 2.83-3.10
Zr: 0.8955 0.1045 0.0980  8 Si 2.77-3.02, 5 Ni 2.83-3.10
Si: 0.1824 0.8176 0.5227  5 Ni 2.35-2.49
Si: 0.1887 0.3113 0.7500  3 Ni 2.27-2.30
Si: 0.3113 0.1887 0.2500  3 Ni 2.27-2.30
Si: 0.3176 0.6824 0.0227  5 Ni 2.35-2.49
Si: 0.6824 0.3176 0.9773  5 Ni 2.35-2.49
Si: 0.6887 0.8113 0.7500  3 Ni 2.27-2.30
Si: 0.8113 0.6887 0.2500  3 Ni 2.27-2.30
Si: 0.8176 0.1824 0.4773  5 Ni 2.35-2.49
Ni: 0.0000 0.0000 0.5000  6 Si 2.30-2.49
Ni: 0.0223 0.4777 0.7500  5 Si 2.27-2.36
Ni: 0.4777 0.0223 0.2500  5 Si 2.27-2.36
Ni: 0.5000 0.5000 0.0000  6 Si 2.30-2.49
Ni: 0.5223 0.9777 0.7500  5 Si 2.27-2.36
Ni: 0.9777 0.5223 0.2500  5 Si 2.27-2.36

---

# 3
A plane-wave DFT calculation with SCAN was carried out for a crystal of CrSi3Tc relaxed with PBEsol.

- ΔE_f (raw): 645 meV per atom
- Magnetization: 1.0529 μB/atom

Lattice parameters (Å, degrees): 4.5942 4.5942 4.5942 90.00 90.00 90.00
Closest atoms and distances in Å follow each position.
Fractional coordinates of all 5 atoms:
Cr: 0.0000 0.0000 0.0000  12 Si 3.25
Si: 0.0000 0.5000 0.5000  2 Tc 2.30
Si: 0.5000 0.0000 0.5000  2 Tc 2.30
Si: 0.5000 0.5000 0.0000  2 Tc 2.30
Tc: 0.5000 0.5000 0.5000  6 Si 2.30

---

# 4
A plane-wave DFT calculation with SCAN was carried out for a crystal of TePPtCl2 relaxed with PBEsol.

- ΔE_f (raw): 256 meV per atom
- Magnetization: 0.1399 μB/atom

Lattice parameters (Å, degrees): 4.7185 4.7185 4.7584 90.00 90.00 90.00
Closest atoms and distances in Å follow each position.
Fractional coordinates of all 5 atoms:
Te: 0.0000 0.0000 0.0000  4 P 3.34, 8 Cl 3.35
P: 0.5000 0.5000 0.0000  2 Pt 2.38
Pt: 0.5000 0.5000 0.5000  4 Cl 2.36, 2 P 2.38
Cl: 0.0000 0.5000 0.5000  2 Pt 2.36
Cl: 0.5000 0.0000 0.5000  2 Pt 2.36

---

# 5
A plane-wave DFT calculation with SCAN was carried out for a crystal of KBa4As relaxed with PBEsol.

- Magnetization: 0.4792 μB/atom

Lattice parameters (Å, degrees): 7.2803 7.2803 7.2803 60.00 60.00 60.00
Closest atoms and distances in Å follow each position.
Fractional coordinates of all 6 atoms:
K: 0.0000 0.0000 0.0000  12 Ba 4.28, 4 As 4.46
Ba: 0.1332 0.6223 0.6223  6 Ba 3.56-3.72
Ba: 0.6223 0.1332 0.6223  6 Ba 3.56-3.72
Ba: 0.6223 0.6223 0.1332  6 Ba 3.56-3.72
Ba: 0.6223 0.6223 0.6223  6 Ba 3.56-3.72
As: 0.2500 0.2500 0.2500  12 Ba 4.26, 4 K 4.46

---

# 6
A plane-wave DFT calculation with SCAN was carried out for a crystal of Li4CaSb relaxed with PBEsol.

- ΔE_f (raw): -265 meV per atom
- Magnetization: 0.1639 μB/atom

Lattice parameters (Å, degrees): 5.5969 5.5969 5.5969 60.00 60.00 60.00
Closest atoms and distances in Å follow each position.
Fractional coordinates of all 6 atoms:
Li: 0.1254 0.1254 0.1254  6 Li 2.79-2.81
Li: 0.1254 0.1254 0.6237  6 Li 2.79-2.81
Li: 0.1254 0.6237 0.1254  6 Li 2.79-2.81
Li: 0.6237 0.1254 0.1254  6 Li 2.79-2.81
Ca: 0.7500 0.7500 0.7500  12 Li 3.28, 4 Sb 3.43
Sb: 0.5000 0.5000 0.5000  12 Li 3.28, 4 Ca 3.43

---

# 7
A plane-wave DFT calculation with SCAN was carried out for a crystal of TcAgSn2Br relaxed with PBEsol.

- ΔE_f (raw): 941 meV per atom
- Magnetization: 0.8466 μB/atom

Lattice parameters (Å, degrees): 5.1692 5.1692 5.2584 90.00 90.00 90.00
Closest atoms and distances in Å follow each position.
Fractional coordinates of all 5 atoms:
Tc: 0.0000 0.0000 0.0000  2 Ag 2.63
Ag: 0.0000 0.0000 0.5000  4 Sn 2.58, 2 Tc 2.63
Sn: 0.0000 0.5000 0.5000  2 Ag 2.58
Sn: 0.5000 0.0000 0.5000  2 Ag 2.58
Br: 0.5000 0.5000 0.0000  4 Tc 3.66, 8 Sn 3.69

---

# 8
A plane-wave DFT calculation with SCAN was carried out for a crystal of GaB3S relaxed with PBEsol.

- ΔE_f (raw): 1698 meV per atom
- Magnetization: 0.0000 μB/atom

Lattice parameters (Å, degrees): 3.8273 3.8273 3.8273 90.00 90.00 90.00
Closest atoms and distances in Å follow each position.
Fractional coordinates of all 5 atoms:
Ga: 0.0000 0.0000 0.0000  12 B 2.71
B: 0.0000 0.5000 0.5000  2 S 1.91
B: 0.5000 0.0000 0.5000  2 S 1.91
B: 0.5000 0.5000 0.0000  2 S 1.91
S: 0.5000 0.5000 0.5000  6 B 1.91

---

Number 1: final energy -23.60 eV/atom. Number 2: final energy -17.49 eV/atom. Number 3: final energy -16.05 eV/atom. Number 4: final energy -26.50 eV/atom. Number 5: final energy -30.83 eV/atom. Number 6: final energy -9.68 eV/atom. Number 7: final energy -30.60 eV/atom. Number 8: final energy -7.95 eV/atom.